Compound: Tb5BiIr2
Source: the Alexandria database
Functional: PBE
Structure: relaxed

Unit cell a=8.804 b=8.804 c=8.804 alpha=126.86 beta=126.86 gamma=78.48
Fractional coordinates of all 16 atoms:
Tb  0.000  0.000  0.000
Tb  0.025  0.525  0.813
Tb  0.212  0.025  0.500
Tb  0.288  0.788  0.813
Tb  0.475  0.288  0.500
Tb  0.500  0.500  0.000
Tb  0.525  0.712  0.500
Tb  0.712  0.212  0.187
Tb  0.788  0.975  0.500
Tb  0.975  0.475  0.187
Bi  0.250  0.250  0.000
Bi  0.750  0.750  0.000
Ir  0.140  0.360  0.500
Ir  0.360  0.860  0.220
Ir  0.640  0.140  0.780
Ir  0.860  0.640  0.500

## Properties
* crystal system: tetragonal
* symmetry: I4/mcm (140)
* formation energy from the elements: -73.0 kJ per mole of atoms

Compound: Tb12Bi6Ir
Source: the Alexandria database
Functional: PBE
Structure: relaxed

Unit cell a=8.728 b=8.728 c=8.728 alpha=99.75 beta=99.75 gamma=99.75
Fractional coordinates of all 19 atoms:
Tb  0.007  0.688  0.941
Tb  0.059  0.993  0.312
Tb  0.201  0.413  0.543
Tb  0.312  0.059  0.993
Tb  0.413  0.543  0.201
Tb  0.457  0.799  0.587
Tb  0.543  0.201  0.413
Tb  0.587  0.457  0.799
Tb  0.688  0.941  0.007
Tb  0.799  0.587  0.457
Tb  0.941  0.007  0.688
Tb  0.993  0.312  0.059
Bi  0.118  0.648  0.318
Bi  0.318  0.118  0.648
Bi  0.352  0.682  0.882
Bi  0.648  0.318  0.118
Bi  0.682  0.882  0.352
Bi  0.882  0.352  0.682
Ir  0.000  0.000  0.000

## Properties
* crystal system: trigonal
* symmetry: R-3 (148)
* formation energy from the elements: -50.6 kJ per mole of atoms

Compound: Tb3BiIr
Source: the Alexandria database
Functional: PBE
Structure: relaxed

Unit cell a=4.404 b=6.906 c=9.377 alpha=90.00 beta=90.00 gamma=90.00
Fractional coordinates of all 10 atoms:
Tb  0.250  0.003  0.149
Tb  0.250  0.250  0.593
Tb  0.250  0.497  0.149
Tb  0.750  0.503  0.851
Tb  0.750  0.750  0.407
Tb  0.750  0.997  0.851
Bi  0.250  0.750  0.644
Bi  0.750  0.250  0.356
Ir  0.250  0.250  0.898
Ir  0.750  0.750  0.102

## Properties
* crystal system: orthorhombic
* symmetry: Pmmn (59)
* relative energy among the computed polymorphs: 0.50 kcal/mol of atoms
* formation energy from the elements: -71.4 kJ per mole of atoms

Compound: Tb3Bi2Ir
Source: the Alexandria database
Functional: PBE
Structure: relaxed

Unit cell a=4.206 b=6.183 c=13.446 alpha=90.00 beta=90.00 gamma=90.00
Fractional coordinates of all 12 atoms:
Tb  0.000  0.000  0.000
Tb  0.000  0.000  0.361
Tb  0.000  0.000  0.639
Tb  0.500  0.500  0.139
Tb  0.500  0.500  0.500
Tb  0.500  0.500  0.861
Bi  0.000  0.500  0.323
Bi  0.000  0.500  0.677
Bi  0.500  0.000  0.177
Bi  0.500  0.000  0.823
Ir  0.000  0.500  0.000
Ir  0.500  0.000  0.500

## Properties
* crystal system: orthorhombic
* symmetry: Immm (71)
* formation energy from the elements: -63.0 kJ per mole of atoms

Compound: Tb8BiIr2
Source: the Alexandria database
Functional: PBE
Structure: relaxed

Unit cell a=7.912 b=7.912 c=5.638 alpha=97.06 beta=97.06 gamma=113.33
Fractional coordinates of all 11 atoms:
Tb  0.106  0.106  0.793
Tb  0.166  0.427  0.414
Tb  0.250  0.750  0.000
Tb  0.427  0.166  0.414
Tb  0.573  0.834  0.586
Tb  0.750  0.250  0.000
Tb  0.834  0.573  0.586
Tb  0.894  0.894  0.207
Bi  0.500  0.500  0.000
Ir  0.193  0.807  0.500
Ir  0.807  0.193  0.500

## Properties
* crystal system: monoclinic
* symmetry: C2/m (12)
* formation energy from the elements: -45.4 kJ per mole of atoms

Compound: Tb4Bi2Ir
Source: the Alexandria database
Functional: PBE
Structure: relaxed

Unit cell a=7.966 b=12.363 c=4.411 alpha=90.00 beta=90.00 gamma=90.00
Fractional coordinates of all 14 atoms:
Tb  0.126  0.197  0.000
Tb  0.212  0.943  0.500
Tb  0.288  0.443  0.500
Tb  0.374  0.697  0.000
Tb  0.626  0.303  0.000
Tb  0.712  0.557  0.500
Tb  0.788  0.057  0.500
Tb  0.874  0.803  0.000
Bi  0.082  0.672  0.500
Bi  0.418  0.172  0.500
Bi  0.582  0.828  0.500
Bi  0.918  0.328  0.500
Ir  0.000  0.000  0.000
Ir  0.500  0.500  0.000

## Properties
* crystal system: orthorhombic
* symmetry: Pbam (55)
* formation energy from the elements: -72.2 kJ per mole of atoms

Compound: Tb5Bi2Ir
Source: the Alexandria database
Functional: PBE
Structure: relaxed

Unit cell a=5.597 b=5.597 c=16.593 alpha=90.00 beta=90.00 gamma=116.24
Fractional coordinates of all 16 atoms:
Tb  0.064  0.936  0.600
Tb  0.064  0.936  0.900
Tb  0.255  0.745  0.250
Tb  0.399  0.601  0.642
Tb  0.399  0.601  0.858
Tb  0.601  0.399  0.142
Tb  0.601  0.399  0.358
Tb  0.745  0.255  0.750
Tb  0.936  0.064  0.100
Tb  0.936  0.064  0.400
Bi  0.277  0.723  0.058
Bi  0.277  0.723  0.442
Bi  0.723  0.277  0.558
Bi  0.723  0.277  0.942
Ir  0.173  0.827  0.750
Ir  0.827  0.173  0.250

## Properties
* crystal system: orthorhombic
* symmetry: Cmcm (63)
* relative energy among the computed polymorphs: 7.20 kcal/mol of atoms
* formation energy from the elements: -42.2 kJ per mole of atoms

Compound: Tb4BiIr
Source: the Alexandria database
Functional: PBE
Structure: relaxed

Unit cell a=8.196 b=4.138 c=19.529 alpha=90.00 beta=90.00 gamma=90.00
Fractional coordinates of all 24 atoms:
Tb  0.004  0.250  0.067
Tb  0.037  0.250  0.786
Tb  0.139  0.250  0.549
Tb  0.147  0.250  0.358
Tb  0.353  0.750  0.858
Tb  0.361  0.750  0.049
Tb  0.463  0.750  0.286
Tb  0.496  0.750  0.567
Tb  0.504  0.250  0.433
Tb  0.537  0.250  0.714
Tb  0.639  0.250  0.951
Tb  0.647  0.250  0.142
Tb  0.853  0.750  0.642
Tb  0.861  0.750  0.451
Tb  0.963  0.750  0.214
Tb  0.996  0.750  0.933
Bi  0.235  0.750  0.690
Bi  0.265  0.250  0.190
Bi  0.735  0.750  0.810
Bi  0.765  0.250  0.310
Ir  0.248  0.750  0.452
Ir  0.252  0.250  0.952
Ir  0.748  0.750  0.048
Ir  0.752  0.250  0.548

## Properties
* crystal system: orthorhombic
* symmetry: Pnma (62)
* relative energy among the computed polymorphs: 0.00 kcal/mol of atoms
* formation energy from the elements: -63.6 kJ per mole of atoms

Compound: Tb5Bi5Ir
Source: the Alexandria database
Functional: PBE
Structure: relaxed

Unit cell a=7.354 b=7.354 c=9.684 alpha=115.38 beta=115.38 gamma=49.93
Fractional coordinates of all 11 atoms:
Tb  0.000  0.000  0.000
Tb  0.320  0.320  0.705
Tb  0.350  0.350  0.122
Tb  0.650  0.650  0.878
Tb  0.680  0.680  0.295
Bi  0.114  0.114  0.779
Bi  0.218  0.218  0.336
Bi  0.500  0.500  0.500
Bi  0.782  0.782  0.664
Bi  0.886  0.886  0.221
Ir  0.500  0.500  0.000

## Properties
* crystal system: monoclinic
* symmetry: C2/m (12)
* formation energy from the elements: -52.9 kJ per mole of atoms

Compound: Tb6BiTe3Ir2
Source: the Alexandria database
Functional: PBE
Structure: relaxed

Unit cell a=9.764 b=9.764 c=8.802 alpha=105.34 beta=105.34 gamma=25.14
Fractional coordinates of all 12 atoms:
Tb  0.020  0.020  0.261
Tb  0.323  0.323  0.435
Tb  0.327  0.327  0.871
Tb  0.673  0.673  0.129
Tb  0.677  0.677  0.565
Tb  0.980  0.980  0.739
Bi  0.500  0.500  0.000
Te  0.159  0.159  0.841
Te  0.500  0.500  0.500
Te  0.841  0.841  0.159
Ir  0.171  0.171  0.343
Ir  0.829  0.829  0.657

## Properties
* crystal system: monoclinic
* symmetry: C2/m (12)
* energy relative to the elements, uncorrected: -1.078 eV/atom

Compound: Tc2BiIr
Source: the Alexandria database
Functional: PBE
Structure: relaxed

Unit cell a=5.843 b=5.843 c=11.775 alpha=90.00 beta=90.00 gamma=90.00
Fractional coordinates of all 16 atoms:
Tc  0.202  0.250  0.125
Tc  0.250  0.702  0.375
Tc  0.250  0.798  0.875
Tc  0.298  0.250  0.625
Tc  0.702  0.750  0.625
Tc  0.750  0.202  0.875
Tc  0.750  0.298  0.375
Tc  0.798  0.750  0.125
Bi  0.000  0.000  0.500
Bi  0.000  0.500  0.750
Bi  0.500  0.000  0.250
Bi  0.500  0.500  0.000
Ir  0.000  0.000  0.000
Ir  0.000  0.500  0.250
Ir  0.500  0.000  0.750
Ir  0.500  0.500  0.500

## Properties
* crystal system: tetragonal
* symmetry: I-42d (122)
* formation energy from the elements: 103.4 kJ per mole of atoms

Compound: TcBi2Ir
Source: the Alexandria database
Functional: PBE
Structure: relaxed

Unit cell a=6.856 b=6.856 c=6.856 alpha=90.00 beta=90.00 gamma=90.00
Fractional coordinates of all 16 atoms:
Tc  0.000  0.000  0.000
Tc  0.000  0.500  0.500
Tc  0.500  0.000  0.500
Tc  0.500  0.500  0.000
Bi  0.250  0.250  0.250
Bi  0.250  0.250  0.750
Bi  0.250  0.750  0.250
Bi  0.250  0.750  0.750
Bi  0.750  0.250  0.250
Bi  0.750  0.250  0.750
Bi  0.750  0.750  0.250
Bi  0.750  0.750  0.750
Ir  0.000  0.000  0.500
Ir  0.000  0.500  0.000
Ir  0.500  0.000  0.000
Ir  0.500  0.500  0.500

## Properties
* crystal system: cubic
* symmetry: Fm-3m (225)
* relative energy among the computed polymorphs: 0.00 kcal/mol of atoms
* formation energy from the elements: 60.2 kJ per mole of atoms